# SiAg2Pb2

A geometry-optimized SiAg2Pb2 structure (GGA-PBE, Alexandria via LeMat-Bulk).

Cell lengths 7.3172, 7.3172, 7.3172 Å; angles 144.60, 144.60, 50.93 degrees
Positions (direct):
Si1 0.0000 0.0000 0.0000
Ag1 0.4013 0.4013 0.0000
Ag2 0.5987 0.5987 0.0000
Pb1 0.2500 0.7500 0.5000
Pb2 0.7500 0.2500 0.5000

Output
As for the energy relative to the elements, uncorrected: 0.62 eV/atom. As for the density of states at the Fermi level: 3.07 states/eV/f.u. As for the energy above the most stable polymorph in this dataset: 0.364 eV per atom.